Record 1
Below is crystalline KCa2TaI at its relaxed geometry, with properties calculated at the PBE level.

## Properties
Formation energy from raw total energies, eV/atom: 1.438

Cell and atoms, written as CIF:
```
data_KCa2TaI
_chemical_formula_sum 'K1 Ca2 Ta1 I1'
_cell_length_a 6.334
_cell_length_b 6.334
_cell_length_c 5.773
_cell_angle_alpha 90.00
_cell_angle_beta 90.00
_cell_angle_gamma 90.00
_symmetry_space_group_name_H-M 'P 4/m m m'
_symmetry_Int_Tables_number 123
_symmetry_space_group_name_Hall '-P 4 2'
loop_
_atom_site_label
_atom_site_fract_x
_atom_site_fract_y
_atom_site_fract_z
_atom_site_occupancy
K1 0.000 0.000 0.000 1
Ca1 0.000 0.500 0.000 1
Ta1 0.500 0.500 0.500 1
I1 0.000 0.000 0.500 1
```

---

Record 2
Below is crystalline YGaAu2 at its relaxed geometry, with properties calculated at the PBE level.

## Properties
Energy, eV per cell: -70.12

Cell and atoms, written as CIF:
```
data_YGaAu2
_chemical_formula_sum 'Y4 Ga4 Au8'
_cell_length_a 4.730
_cell_length_b 4.730
_cell_length_c 17.309
_cell_angle_alpha 90.00
_cell_angle_beta 90.00
_cell_angle_gamma 90.00
_symmetry_space_group_name_H-M 'I -4 2 d'
_symmetry_Int_Tables_number 122
_symmetry_space_group_name_Hall 'I -4 2bw'
loop_
_atom_site_label
_atom_site_fract_x
_atom_site_fract_y
_atom_site_fract_z
_atom_site_occupancy
Y1 0.000 0.000 0.000 1
Ga1 0.000 0.000 0.500 1
Au1 0.170 0.250 0.625 1
```

---

Record 3
Below is crystalline Pm5Dy6Y2 at its relaxed geometry, with properties calculated at the PBE level.

## Properties
Energy, eV per cell: -126.18

Cell and atoms, written as CIF:
```
data_Pm5Dy6Y2
_chemical_formula_sum 'Pm10 Dy12 Y4'
_cell_length_a 11.710
_cell_length_b 20.517
_cell_length_c 3.597
_cell_angle_alpha 90.00
_cell_angle_beta 90.00
_cell_angle_gamma 90.00
_symmetry_space_group_name_H-M 'P b a m'
_symmetry_Int_Tables_number 55
loop_
_symmetry_equiv_pos_as_xyz
'x,y,z'
'-x,-y,-z'
'-x,-y,z'
'x,y,-z'
'x+1/2,-y+1/2,-z'
'-x+1/2,y+1/2,z'
'-x+1/2,y+1/2,-z'
'x+1/2,-y+1/2,z'
loop_
_atom_site_label
_atom_site_fract_x
_atom_site_fract_y
_atom_site_fract_z
_atom_site_occupancy
Pm1 0.000 0.000 0.000 1
Pm2 0.089 0.274 0.000 1
Pm3 0.199 0.550 0.000 1
Dy1 0.060 0.419 0.500 1
Dy2 0.081 0.132 0.500 1
Dy3 0.175 0.864 0.000 1
Y1 0.168 0.711 0.500 1
```

---

Record 4
Below is crystalline Dy3Er4Th5 at its relaxed geometry, with properties calculated at the PBE level.

## Properties
Energy, eV per cell: -130.59

Cell and atoms, written as CIF:
```
data_Dy3Er4Th5
_chemical_formula_sum 'Dy6 Er8 Th10'
_cell_length_a 11.181
_cell_length_b 5.489
_cell_length_c 13.312
_cell_angle_alpha 90.00
_cell_angle_beta 106.61
_cell_angle_gamma 90.00
_symmetry_space_group_name_H-M 'C 1 2/m 1'
_symmetry_Int_Tables_number 12
loop_
_symmetry_equiv_pos_as_xyz
'x,y,z'
'-x,-y,-z'
'-x,y,-z'
'x,-y,z'
'x+1/2,y+1/2,z'
'-x+1/2,-y+1/2,-z'
'-x+1/2,y+1/2,-z'
'x+1/2,-y+1/2,z'
loop_
_atom_site_label
_atom_site_fract_x
_atom_site_fract_y
_atom_site_fract_z
_atom_site_occupancy
Dy1 0.000 0.000 0.000 1
Dy2 0.044 0.500 0.776 1
Er1 0.165 0.000 0.266 1
Er2 0.218 0.000 0.893 1
Th1 0.000 0.500 0.000 1
Th2 0.096 0.000 0.627 1
Th3 0.142 0.500 0.469 1
```

---

Record 5
Below is crystalline BeN2Cl at its relaxed geometry, with properties calculated at the PBE level.

## Properties
E above lowest polymorph, meV/atom: 1478
Formation energy from raw total energies, eV/atom: 2.447

Cell and atoms, written as CIF:
```
data_BeN2Cl
_chemical_formula_sum 'Be4 N8 Cl4'
_cell_length_a 5.370
_cell_length_b 5.370
_cell_length_c 5.370
_cell_angle_alpha 90.00
_cell_angle_beta 90.00
_cell_angle_gamma 90.00
_symmetry_space_group_name_H-M 'F m -3 m'
_symmetry_Int_Tables_number 225
_symmetry_space_group_name_Hall '-F 4 2 3'
loop_
_atom_site_label
_atom_site_fract_x
_atom_site_fract_y
_atom_site_fract_z
_atom_site_occupancy
Be1 0.000 0.000 0.000 1
N1 0.250 0.250 0.250 1
Cl1 0.000 0.000 0.500 1
```

---

Record 6
Below is crystalline Ce8CoC3Br4 at its relaxed geometry, with properties calculated at the PBE level.

## Properties
Formation energy from raw total energies, eV/atom: -0.762

Cell and atoms, written as CIF:
```
data_Ce8CoC3Br4
_chemical_formula_sum 'Ce24 Co3 C9 Br12'
_cell_length_a 7.5838
_cell_length_b 7.5838
_cell_length_c 22.3069
_cell_angle_alpha 90.00
_cell_angle_beta 90.00
_cell_angle_gamma 120.00
_symmetry_space_group_name_H-M 'R -3 m'
_symmetry_Int_Tables_number 166
_symmetry_space_group_name_Hall '-R 3 2"'
loop_
_atom_site_label
_atom_site_fract_x
_atom_site_fract_y
_atom_site_fract_z
_atom_site_occupancy
Ce1 0.0000 0.0000 0.2294 1
Ce2 0.0163 0.5081 0.7720 1
Co1 0.0000 0.0000 0.5000 1
C1 0.0000 0.5000 0.5000 1
Br1 0.0000 0.0000 0.0000 1
Br2 0.0000 0.5000 0.0000 1
```

---

no.,total magnetization (μB/f.u.),density of states at the Fermi level (states/eV per cell)
1,3.89,4.782
2,0.00,9.341
3,0.00,32.611
4,0.00,36.409
5,0.00,12.002
6,5.80,102.521